Material: NbP2NCl12
Method: DFT, meta-GGA SCAN
State: single point on PBEsol structure

SG: C2/c (15)
Total energy in Ha/atom: -0.402

a = 8.1066 Å, b = 8.1066 Å, c = 15.1662 Å
α = 102.28°, β = 102.28°, γ = 66.20°
Last column: nearest neighbours and their distance in Å.
Atoms (fractional coordinates):
Nb (0.0000, 0.0000, 0.0000)  6 Cl 2.36-2.38
Nb (0.0000, 0.0000, 0.5000)  6 Cl 2.36-2.38
P (0.3220, 0.4521, 0.7250)  1 N 1.56
P (0.4521, 0.3220, 0.2250)  1 N 1.56
P (0.5479, 0.6780, 0.7750)  1 N 1.56
P (0.6780, 0.5479, 0.2750)  1 N 1.56
N (0.3812, 0.6188, 0.7500)  2 P 1.56
N (0.6188, 0.3812, 0.2500)  2 P 1.56
Cl (0.0478, 0.1161, 0.1557)  1 Nb 2.36
Cl (0.0928, 0.5106, 0.6410)  1 P 1.96
Cl (0.1033, 0.2079, 0.9611)  1 Nb 2.38
Cl (0.1161, 0.0478, 0.6557)  1 Nb 2.36
Cl (0.2079, 0.1033, 0.4611)  1 Nb 2.38
Cl (0.2185, 0.6992, 0.4867)  1 Nb 2.36
Cl (0.2307, 0.5022, 0.1661)  1 P 1.98
Cl (0.2768, 0.3854, 0.8328)  1 P 1.97
Cl (0.3008, 0.7815, 0.0133)  1 Nb 2.36
Cl (0.3854, 0.2768, 0.3328)  1 P 1.97
Cl (0.4894, 0.9072, 0.8590)  1 P 1.96
Cl (0.4978, 0.7693, 0.3339)  1 P 1.98
Cl (0.5022, 0.2307, 0.6661)  1 P 1.98
Cl (0.5106, 0.0928, 0.1410)  1 P 1.96
Cl (0.6146, 0.7232, 0.6672)  1 P 1.97
Cl (0.6992, 0.2185, 0.9867)  1 Nb 2.36
Cl (0.7232, 0.6146, 0.1672)  1 P 1.97
Cl (0.7693, 0.4978, 0.8339)  1 P 1.98
Cl (0.7815, 0.3008, 0.5133)  1 Nb 2.36
Cl (0.7921, 0.8967, 0.5389)  1 Nb 2.38
Cl (0.8839, 0.9522, 0.3443)  1 Nb 2.36
Cl (0.8967, 0.7921, 0.0389)  1 Nb 2.38
Cl (0.9072, 0.4894, 0.3590)  1 P 1.96
Cl (0.9522, 0.8839, 0.8443)  1 Nb 2.36

***

Material: NbSe2NCl
Method: DFT, meta-GGA SCAN
State: single point on PBEsol structure

SG: P4/mmm (123)
Total energy in Ha/atom: -0.613

a = 4.9577 Å, b = 4.9577 Å, c = 3.3295 Å
α = 90.00°, β = 90.00°, γ = 90.00°
Last column: nearest neighbours and their distance in Å.
Atoms (fractional coordinates):
Nb (0.0000, 0.0000, 0.0000)  8 Se 2.99, 2 Nb 3.33
Se (0.0000, 0.5000, 0.5000)  2 Cl 2.48
Se (0.5000, 0.0000, 0.5000)  2 Cl 2.48
N (0.5000, 0.5000, 0.0000)  2 Cl 1.66
Cl (0.5000, 0.5000, 0.5000)  2 N 1.66

***

Material: Nd4Si4N7ClO3
Method: DFT, meta-GGA SCAN
State: single point on PBEsol structure

SG: P2_12_12_1 (19)
Total energy in Ha/atom: -0.673

a = 10.2781 Å, b = 10.3387 Å, c = 10.4726 Å
α = 90.00°, β = 90.00°, γ = 90.00°
Last column: nearest neighbours and their distance in Å.
Atoms (fractional coordinates):
Nd (0.0444, 0.1839, 0.3093)  1 N 2.23
Nd (0.1076, 0.8918, 0.8974)  4 N 2.43-2.59, 2 O 2.52-2.53
Nd (0.1826, 0.8120, 0.5440)  3 O 2.28-2.52, 1 N 2.49
Nd (0.1935, 0.5508, 0.8214)  2 O 2.28-2.53, 2 N 2.45-2.52
Nd (0.3065, 0.4492, 0.3214)  2 O 2.28-2.53, 2 N 2.45-2.52
Nd (0.3174, 0.1880, 0.0440)  3 O 2.28-2.52, 1 N 2.49
Nd (0.3924, 0.1082, 0.3974)  4 N 2.43-2.59, 2 O 2.52-2.53
Nd (0.4556, 0.8161, 0.8093)  1 N 2.23
Nd (0.5444, 0.3161, 0.6907)  1 N 2.23
Nd (0.6076, 0.6082, 0.1026)  4 N 2.43-2.59, 2 O 2.52-2.53
Nd (0.6826, 0.6880, 0.4560)  3 O 2.28-2.52, 1 N 2.49
Nd (0.6935, 0.9492, 0.1786)  2 O 2.28-2.53, 2 N 2.45-2.52
Nd (0.8065, 0.0508, 0.6786)  2 O 2.28-2.53, 2 N 2.45-2.52
Nd (0.8174, 0.3120, 0.9560)  3 O 2.28-2.52, 1 N 2.49
Nd (0.8924, 0.3918, 0.6026)  4 N 2.43-2.59, 2 O 2.52-2.53
Nd (0.9556, 0.6839, 0.1907)  1 N 2.23
Si (0.0723, 0.4290, 0.0708)  1 O 1.66, 3 N 1.69-1.70
Si (0.0799, 0.2578, 0.8040)  1 O 1.68, 3 N 1.70-1.72
Si (0.1965, 0.9192, 0.2554)  1 O 1.68, 3 N 1.70-1.74
Si (0.2475, 0.6986, 0.0752)  4 N 1.71-1.76
Si (0.2525, 0.3014, 0.5752)  4 N 1.71-1.76
Si (0.3035, 0.0808, 0.7554)  1 O 1.68, 3 N 1.70-1.74
Si (0.4201, 0.7422, 0.3040)  1 O 1.68, 3 N 1.70-1.72
Si (0.4277, 0.5710, 0.5708)  1 O 1.66, 3 N 1.69-1.70
Si (0.5723, 0.0710, 0.9292)  1 O 1.66, 3 N 1.69-1.70
Si (0.5799, 0.2422, 0.1960)  1 O 1.68, 3 N 1.70-1.72
Si (0.6965, 0.5808, 0.7446)  1 O 1.68, 3 N 1.70-1.74
Si (0.7475, 0.8014, 0.9248)  4 N 1.71-1.76
Si (0.7525, 0.1986, 0.4248)  4 N 1.71-1.76
Si (0.8035, 0.4192, 0.2446)  1 O 1.68, 3 N 1.70-1.74
Si (0.9201, 0.7578, 0.6960)  1 O 1.68, 3 N 1.70-1.72
Si (0.9277, 0.9290, 0.4292)  1 O 1.66, 3 N 1.69-1.70
N (0.0502, 0.3680, 0.9214)  2 Si 1.70
N (0.0787, 0.9462, 0.3660)  2 Si 1.70
N (0.1288, 0.3497, 0.6757)  2 Si 1.72
N (0.1334, 0.5793, 0.0529)  2 Si 1.69-1.72
N (0.1495, 0.8263, 0.1298)  2 Si 1.70-1.76
N (0.1734, 0.1290, 0.8505)  2 Si 1.71-1.74
N (0.2123, 0.2581, 0.4231)  1 Si 1.71
N (0.2877, 0.7419, 0.9231)  1 Si 1.71
N (0.3266, 0.8710, 0.3505)  2 Si 1.71-1.74
N (0.3505, 0.1737, 0.6298)  2 Si 1.70-1.76
N (0.3666, 0.4207, 0.5529)  2 Si 1.69-1.72
N (0.3712, 0.6503, 0.1757)  2 Si 1.72
N (0.4213, 0.0538, 0.8660)  2 Si 1.70
N (0.4498, 0.6320, 0.4214)  2 Si 1.70
N (0.5502, 0.1320, 0.0786)  2 Si 1.70
N (0.5787, 0.5538, 0.6340)  2 Si 1.70
N (0.6288, 0.1503, 0.3243)  2 Si 1.72
N (0.6334, 0.9207, 0.9471)  2 Si 1.69-1.72
N (0.6495, 0.6737, 0.8702)  2 Si 1.70-1.76
N (0.6734, 0.3710, 0.1495)  2 Si 1.71-1.74
N (0.7123, 0.2419, 0.5769)  1 Si 1.71
N (0.7877, 0.7581, 0.0769)  1 Si 1.71
N (0.8266, 0.6290, 0.6495)  2 Si 1.71-1.74
N (0.8505, 0.3263, 0.3702)  2 Si 1.70-1.76
N (0.8666, 0.0793, 0.4471)  2 Si 1.69-1.72
N (0.8712, 0.8497, 0.8243)  2 Si 1.72
N (0.9213, 0.4462, 0.1340)  2 Si 1.70
N (0.9498, 0.8680, 0.5786)  2 Si 1.70
Cl (0.0759, 0.5787, 0.4288)  4 Nd 2.91-3.26
Cl (0.4241, 0.4213, 0.9288)  4 Nd 2.91-3.26
Cl (0.5759, 0.9213, 0.5712)  4 Nd 2.91-3.26
Cl (0.9241, 0.0787, 0.0712)  4 Nd 2.91-3.26
O (0.0721, 0.7142, 0.7363)  1 Si 1.68
O (0.1665, 0.3340, 0.1589)  1 Si 1.66
O (0.2406, 0.0691, 0.2108)  1 Si 1.68
O (0.2594, 0.9309, 0.7108)  1 Si 1.68
O (0.3335, 0.6660, 0.6589)  1 Si 1.66
O (0.4279, 0.2858, 0.2363)  1 Si 1.68
O (0.5721, 0.7858, 0.2637)  1 Si 1.68
O (0.6665, 0.1660, 0.8411)  1 Si 1.66
O (0.7406, 0.4309, 0.7892)  1 Si 1.68
O (0.7594, 0.5691, 0.2892)  1 Si 1.68
O (0.8335, 0.8340, 0.3411)  1 Si 1.66
O (0.9279, 0.2142, 0.7637)  1 Si 1.68

***

Material: Nd4S3NCl3
Method: DFT, meta-GGA SCAN
State: single point on PBEsol structure

SG: P6_3mc (186)
Total energy in Ha/atom: -0.878

a = 9.2062 Å, b = 9.2062 Å, c = 6.7826 Å
α = 90.00°, β = 90.00°, γ = 120.00°
Last column: nearest neighbours and their distance in Å.
Atoms (fractional coordinates):
Nd (0.2011, 0.4021, 0.0000)  1 N 2.26
Nd (0.2011, 0.7989, 0.0000)  1 N 2.26
Nd (0.3333, 0.6667, 0.5372)  1 N 2.33
Nd (0.4021, 0.2011, 0.5000)  1 N 2.26
Nd (0.5979, 0.7989, 0.0000)  1 N 2.26
Nd (0.6667, 0.3333, 0.0372)  1 N 2.33
Nd (0.7989, 0.2011, 0.5000)  1 N 2.26
Nd (0.7989, 0.5979, 0.5000)  1 N 2.26
S (0.0616, 0.5308, 0.2794)  3 Nd 2.78-2.86
S (0.4692, 0.5308, 0.2794)  3 Nd 2.78-2.86
S (0.4692, 0.9384, 0.2794)  3 Nd 2.78-2.86
S (0.5308, 0.0616, 0.7794)  3 Nd 2.78-2.86
S (0.5308, 0.4692, 0.7794)  3 Nd 2.78-2.86
S (0.9384, 0.4692, 0.7794)  3 Nd 2.78-2.86
N (0.3333, 0.6667, 0.8809)  4 Nd 2.26-2.33
N (0.6667, 0.3333, 0.3809)  4 Nd 2.26-2.33
Cl (0.1319, 0.2637, 0.6081)  3 Nd 2.88-2.91
Cl (0.1319, 0.8681, 0.6081)  3 Nd 2.88-2.91
Cl (0.2637, 0.1319, 0.1081)  3 Nd 2.88-2.91
Cl (0.7363, 0.8681, 0.6081)  3 Nd 2.88-2.91
Cl (0.8681, 0.1319, 0.1081)  3 Nd 2.88-2.91
Cl (0.8681, 0.7363, 0.1081)  3 Nd 2.88-2.91

***

Material: NiN3Cl
Method: DFT, meta-GGA SCAN
State: single point on PBEsol structure

SG: Pm-3m (221)
Total energy in Ha/atom: -0.272

a = 3.6270 Å, b = 3.6270 Å, c = 3.6270 Å
α = 90.00°, β = 90.00°, γ = 90.00°
Last column: nearest neighbours and their distance in Å.
Atoms (fractional coordinates):
Ni (0.0000, 0.0000, 0.0000)  12 N 2.56
N (0.0000, 0.5000, 0.5000)  2 Cl 1.81
N (0.5000, 0.0000, 0.5000)  2 Cl 1.81
N (0.5000, 0.5000, 0.0000)  2 Cl 1.81
Cl (0.5000, 0.5000, 0.5000)  6 N 1.81

***

Material: Ni2NCl
Method: DFT, meta-GGA SCAN
State: single point on PBEsol structure

SG: Fm-3m (225)
Total energy in Ha/atom: -0.417

a = 3.8543 Å, b = 3.8543 Å, c = 3.8543 Å
α = 60.00°, β = 60.00°, γ = 60.00°
Last column: nearest neighbours and their distance in Å.
Atoms (fractional coordinates):
Ni (0.2500, 0.2500, 0.2500)  4 Cl 2.36, 4 N 2.36
Ni (0.7500, 0.7500, 0.7500)  4 Cl 2.36, 4 N 2.36
N (0.0000, 0.0000, 0.0000)  8 Ni 2.36
Cl (0.5000, 0.5000, 0.5000)  8 Ni 2.36

***

Material: NiTeN2Cl
Method: DFT, meta-GGA SCAN
State: single point on PBEsol structure

SG: P4/mmm (123)
Total energy in Ha/atom: -0.549

a = 3.7918 Å, b = 3.7918 Å, c = 5.3681 Å
α = 90.00°, β = 90.00°, γ = 90.00°
Last column: nearest neighbours and their distance in Å.
Atoms (fractional coordinates):
Ni (0.0000, 0.0000, 0.0000)  4 N 1.90
Te (0.0000, 0.0000, 0.5000)  4 Cl 2.68, 2 Ni 2.68
N (0.0000, 0.5000, 0.0000)  2 Ni 1.90
N (0.5000, 0.0000, 0.0000)  2 Ni 1.90
Cl (0.5000, 0.5000, 0.5000)  4 Te 2.68